Entry 1:
Material: LiNi2Au2
Method: DFT, PBE
State: optimized geometry

Summary:
space group	I4/mmm (139)
magnetic moment	0.158	μB/atom
E above lowest polymorph	251.0	meV/atom
formation energy from the elements	21	kJ per mole of atoms

Cell: 4.7116 4.7116 5.1280 Å, 62.65 62.65 90.00°
Closest atoms and distances in Å follow each position.
Fractional positions:
1 Ni 0.3591 0.3591 0.2818  1 Ni 2.20
2 Ni 0.6409 0.6409 0.7182  1 Ni 2.20
3 Li 0.0000 0.0000 0.0000  2 Ni 2.80, 8 Au 3.06
4 Au 0.7500 0.2500 0.5000  4 Ni 2.50
5 Au 0.2500 0.7500 0.5000  4 Ni 2.50

***

Entry 2:
Material: Li2Ni2Au
Method: DFT, PBE
State: optimized geometry

Summary:
space group	P4/mbm (127)
magnetic moment	0.000	μB/atom
E above lowest polymorph	47.3	meV/atom
formation energy from the elements	6	kJ per mole of atoms

Cell: 6.7181 6.7181 2.7378 Å, 90.00 90.00 90.00°
Closest atoms and distances in Å follow each position.
Fractional positions:
1 Li 0.3754 0.8754 0.0000  6 Ni 2.34-2.46, 1 Li 2.37
2 Li 0.6246 0.1246 0.0000  6 Ni 2.34-2.46, 1 Li 2.37
3 Ni 0.3245 0.1755 0.5000  6 Li 2.34-2.46
4 Au 0.0000 0.0000 0.0000  4 Li 2.66, 2 Au 2.74, 8 Ni 2.83
5 Li 0.1246 0.3754 0.0000  6 Ni 2.34-2.46, 1 Li 2.37
6 Ni 0.6755 0.8245 0.5000  6 Li 2.34-2.46
7 Au 0.5000 0.5000 0.0000  4 Li 2.66, 2 Au 2.74, 8 Ni 2.83
8 Ni 0.8245 0.3245 0.5000  6 Li 2.34-2.46
9 Li 0.8754 0.6246 0.0000  6 Ni 2.34-2.46, 1 Li 2.37
10 Ni 0.1755 0.6755 0.5000  6 Li 2.34-2.46